DFT (GGA-PBE) results for an optimized crystal structure of KCrCd3.

The structure in POSCAR format:
```
KCrCd3
1.0
-4.345 3.238 3.027
1.659 -2.742 5.316
4.110 4.530 1.054
Cr Cd K
1 3 1
direct
0.500 0.500 0.500 Cr
0.000 0.500 0.000 Cd
0.500 0.000 0.000 Cd
0.000 0.000 0.500 Cd
0.000 0.000 0.000 K
```

Output
Its formation energy is 1.10 eV/atom. The value obtained for the distance to the lowest polymorph of the same formula is 0.7951 eV per atom. The calculation puts the theoretical density at 3.0 g/cm³.

=====

DFT (GGA-PBE) results for an optimized crystal structure of ScIn2Br8.

The structure in POSCAR format:
```
ScIn2Br8
1.0
-1.244 -1.645 6.587
-7.552 -4.587 -3.207
-1.196 -8.807 -3.060
Br In Sc
8 2 1
direct
0.247 0.819 0.302 Br
0.753 0.181 0.698 Br
0.753 0.698 0.181 Br
0.631 0.710 0.710 Br
0.369 0.290 0.290 Br
0.166 0.861 0.861 Br
0.247 0.302 0.819 Br
0.834 0.139 0.139 Br
0.449 0.148 0.148 In
0.551 0.852 0.852 In
0.000 0.000 0.000 Sc
```

Output
For the energy relative to the elements, uncorrected, the calculation gives -1.020 eV/atom. The calculation puts the theoretical density at 3.4 g/cm³.

=====

DFT (GGA-PBE) results for an optimized crystal structure of ScPaPb2.

The structure in POSCAR format:
```
ScPaPb2
1.0
3.385 0.000 0.000
0.000 3.385 0.000
0.000 0.000 9.015
Pb Pa Sc
2 1 1
direct
0.000 0.000 0.235 Pb
0.000 0.000 0.765 Pb
0.500 0.500 0.500 Pa
0.500 0.500 0.000 Sc
```

Output
Its formation energy is -0.08 eV/atom. The value obtained for the distance to the lowest polymorph of the same formula is 0.0000 eV per atom. The calculation puts the theoretical density at 11.1 g/cm³.

=====

DFT (GGA-PBE) results for an optimized crystal structure of Sr2LiZn.

The structure in POSCAR format:
```
Sr2LiZn
1.0
-3.935 -3.047 2.446
1.009 -5.291 1.317
0.543 -1.479 5.317
Sr Li Zn
2 1 1
direct
0.250 0.250 0.250 Sr
0.000 0.000 0.000 Sr
0.500 0.500 0.500 Li
0.750 0.750 0.750 Zn
```

Output
Its formation energy is 0.11 eV/atom. The calculation puts the theoretical density at 3.4 g/cm³.

=====

DFT (GGA-PBE) results for an optimized crystal structure of CaAcHo2In4.

The structure in POSCAR format:
```
CaAcHo2In4
1.0
5.458 0.000 0.000
2.729 4.726 0.000
2.729 1.575 9.034
In Ac Ca Ho
4 1 1 2
direct
0.622 0.622 0.135 In
0.128 0.128 0.617 In
0.872 0.872 0.383 In
0.378 0.378 0.865 In
0.000 0.000 0.000 Ac
0.500 0.500 0.500 Ca
0.248 0.248 0.257 Ho
0.752 0.752 0.743 Ho
```

Output
Its formation energy is -0.41 eV/atom. The calculation puts the theoretical density at 7.5 g/cm³.

=====

DFT (GGA-PBE) results for an optimized crystal structure of Ca2UHgS6.

The structure in POSCAR format:
```
Ca2UHgS6
1.0
6.917 0.000 -0.002
3.458 5.992 -0.001
3.457 1.999 6.493
S Ca Hg U
6 2 1 1
direct
0.965 0.573 0.214 S
0.248 0.965 0.214 S
0.573 0.248 0.214 S
0.132 0.409 0.741 S
0.718 0.132 0.742 S
0.409 0.718 0.742 S
0.008 0.008 0.976 Ca
0.528 0.528 0.417 Ca
0.751 0.750 0.749 Hg
0.331 0.331 0.007 U
```

Output
For the energy relative to the elements, uncorrected, the calculation gives -1.269 eV/atom. The calculation puts the theoretical density at 4.4 g/cm³.

=====

DFT (GGA-PBE) results for an optimized crystal structure of CeTl2TeS4.

The structure in POSCAR format:
```
CeTl2TeS4
1.0
-2.471 3.128 -0.258
-2.775 -1.586 7.364
3.750 3.535 6.941
Ce Tl S Te
1 2 4 1
direct
0.000 0.500 0.500 Ce
0.500 0.000 0.500 Tl
0.000 0.000 0.000 Tl
0.000 0.632 0.750 S
0.500 0.248 0.681 S
0.500 0.752 0.319 S
0.000 0.368 0.250 S
0.500 0.500 0.000 Te
```

Output
For the energy relative to the elements, uncorrected, the calculation gives -0.753 eV/atom. The calculation puts the theoretical density at 5.6 g/cm³.

=====

DFT (GGA-PBE) results for an optimized crystal structure of MoN.

The structure in POSCAR format:
```
MoN
1.0
-0.646 -0.073 -2.843
-2.127 -0.210 1.985
-0.385 3.800 -0.010
Mo N
1 1
direct
0.000 0.000 0.500 Mo
0.000 0.000 0.000 N
```

Output
For the energy relative to the elements, uncorrected, the calculation gives 0.884 eV/atom. The calculation puts the theoretical density at 6.5 g/cm³.

=====

| no. | E_tot (eV/atom) |
| --- | --- |
| 1 | -1.595 |
| 2 | -3.310 |
| 3 | -5.893 |
| 4 | -1.524 |
| 5 | -3.692 |
| 6 | -5.305 |
| 7 | -4.543 |
| 8 | -8.695 |